Record 1
## Sm2InHg5 (PBE)

Data for a geometry-optimized Sm2InHg5 structure.

abc: 5.4404 5.4404 7.9871
angles: 109.91 109.91 90.00
Fractional positions:
Hg  0.1228  0.6228  0.2457
Hg  0.3772  0.8772  0.7543
Hg  0.6228  0.1228  0.2457
Hg  0.5000  0.5000  0.0000
Hg  0.8772  0.3772  0.7543
Sm  0.7514  0.7514  0.5027
Sm  0.2486  0.2486  0.4973
In  0.0000  0.0000  0.0000

Results
E_tot = -15.86 eV per cell
crystal system = tetragonal
formation enthalpy at 0 K = -26.2 kJ per mole of atoms
ρ = 11.37 g/cm3
SG = No. 139

***

Record 2
## LuNpCoIr (PBE)

Data for a geometry-optimized LuNpCoIr structure.

abc: 4.7333 4.7333 4.7333
angles: 60.00 60.00 60.00
Fractional positions:
Np  0.2500  0.2500  0.2500
Lu  0.7500  0.7500  0.7500
Co  0.5000  0.5000  0.5000
Ir  0.0000  0.0000  0.0000

Results
E_tot = -34.62 eV per cell
crystal system = cubic
formation enthalpy at 0 K = -28.7 kJ per mole of atoms
ρ = 14.68 g/cm3
SG = No. 216

***

Record 3
## Cs2AgCl (PBE)

Data for a geometry-optimized Cs2AgCl structure.

abc: 6.1989 6.1989 6.1989
angles: 60.00 60.00 60.00
Fractional positions:
Ag  0.5000  0.5000  0.5000
Cl  0.0000  0.0000  0.0000
Cs  0.7500  0.7500  0.7500
Cs  0.2500  0.2500  0.2500

Results
E_tot = -9.89 eV per cell
crystal system = cubic
ρ = 4.03 g/cm3
SG = No. 225
excess energy over the best structure of this formula in the dataset = 85 meV per atom
formation energy without anion corrections = -870 meV per atom

***

Record 4
## HfTaZn2Si (PBE)

Data for a geometry-optimized HfTaZn2Si structure.

abc: 4.8013 4.7158 4.8013
angles: 90.00 90.00 90.00
Fractional positions:
Zn  0.0000  0.0000  0.5000
Zn  0.5000  0.0000  0.0000
Ta  0.0000  0.0000  0.0000
Hf  0.5000  0.5000  0.5000
Si  0.0000  0.5000  0.0000

Results
E_tot = -25.20 eV per cell
crystal system = tetragonal
ρ = 7.92 g/cm3
SG = No. 123
formation energy without anion corrections = 914 meV per atom

***

Record 5
## TbErTmAg (PBE)

Data for a geometry-optimized TbErTmAg structure.

abc: 5.3389 5.3389 5.3389
angles: 60.00 60.00 60.00
Fractional positions:
Er  0.5000  0.5000  0.5000
Tb  0.0000  0.0000  0.0000
Ag  0.2500  0.2500  0.2500
Tm  0.7500  0.7500  0.7500

Results
E_tot = -16.31 eV per cell
crystal system = cubic
formation enthalpy at 0 K = 4.9 kJ per mole of atoms
ρ = 9.31 g/cm3
SG = No. 216
excess energy over the best structure of this formula in the dataset = 188 meV per atom

***

Record 6
## Li3TeS (PBE)

Data for a geometry-optimized Li3TeS structure.

abc: 5.1284 5.1284 5.1284
angles: 90.00 90.00 90.00
Fractional positions:
Li  0.5000  0.0000  0.0000
Li  0.0000  0.0000  0.5000
Li  0.0000  0.5000  0.0000
Te  0.0000  0.0000  0.0000
S  0.5000  0.5000  0.5000

Results
E_tot = -15.21 eV per cell
crystal system = cubic
ρ = 2.22 g/cm3
SG = No. 221
excess energy over the best structure of this formula in the dataset = 451 meV per atom
formation energy without anion corrections = -440 meV per atom

***

Record 7
## AcCe2Zn (PBE)

Data for a geometry-optimized AcCe2Zn structure.

abc: 5.1616 4.7317 4.7317
angles: 90.00 90.00 90.00
Fractional positions:
Ac  0.5000  0.5000  0.5000
Ce  0.0000  0.5000  0.0000
Ce  0.0000  0.0000  0.5000
Zn  0.5000  0.0000  0.0000

Results
E_tot = -16.90 eV per cell
crystal system = tetragonal
formation enthalpy at 0 K = 8.5 kJ per mole of atoms
ρ = 8.23 g/cm3
SG = No. 123
excess energy over the best structure of this formula in the dataset = 92 meV per atom

***

Record 8
## TmTl3Te3 (PBE)

Data for a geometry-optimized TmTl3Te3 structure.

abc: 4.4805 9.4887 13.0330
angles: 90.11 90.00 90.00
Fractional positions:
Tm  0.7500  0.1190  0.6207
Tm  0.2500  0.8810  0.3793
Te  0.7500  0.1037  0.3852
Te  0.2500  0.8963  0.6148
Te  0.7500  0.6585  0.3844
Te  0.2500  0.8886  0.1444
Te  0.7500  0.1114  0.8556
Te  0.2500  0.3415  0.6156
Tl  0.2500  0.3545  0.8622
Tl  0.2500  0.8674  0.8738
Tl  0.7500  0.6221  0.6323
Tl  0.7500  0.1326  0.1262
Tl  0.7500  0.6455  0.1378
Tl  0.2500  0.3779  0.3677

Results
E_tot = -51.79 eV per cell
crystal system = monoclinic
ρ = 6.98 g/cm3
SG = No. 11
formation energy without anion corrections = -700 meV per atom

***

Record 9
## YHoErSc (PBE)

Data for a geometry-optimized YHoErSc structure.

abc: 5.5252 5.5252 5.5252
angles: 60.00 60.00 60.00
Fractional positions:
Er  0.0000  0.0000  0.0000
Sc  0.5000  0.5000  0.5000
Y  0.7500  0.7500  0.7500
Ho  0.2500  0.2500  0.2500

Results
E_tot = -21.42 eV per cell
crystal system = cubic
formation enthalpy at 0 K = 12.6 kJ per mole of atoms
ρ = 6.49 g/cm3
SG = No. 216
excess energy over the best structure of this formula in the dataset = 83 meV per atom

***

Record 10
## TlNiH2 (PBE)

Data for a geometry-optimized TlNiH2 structure.

abc: 3.9527 3.9527 3.9527
angles: 60.00 60.00 60.00
Fractional positions:
H  0.2500  0.2500  0.2500
H  0.7500  0.7500  0.7500
Tl  0.5000  0.5000  0.5000
Ni  0.0000  0.0000  0.0000

Results
E_tot = -11.23 eV per cell
crystal system = cubic
ρ = 10.08 g/cm3
SG = No. 225
excess energy over the best structure of this formula in the dataset = 716 meV per atom

***

Record 11
## SrPaPtN3 (PBE)

Data for a geometry-optimized SrPaPtN3 structure.

abc: 3.5431 7.0350 8.8251
angles: 93.84 90.00 90.00
Fractional positions:
N  0.2500  0.5690  0.8812
N  0.7500  0.4310  0.1188
N  0.7500  0.2280  0.5948
N  0.2500  0.1611  0.8911
N  0.7500  0.8389  0.1089
N  0.2500  0.7720  0.4052
Pa  0.2500  0.6481  0.1422
Pa  0.7500  0.3519  0.8578
Sr  0.7500  0.8607  0.8167
Sr  0.2500  0.1393  0.1833
Pt  0.2500  0.1354  0.5488
Pt  0.7500  0.8646  0.4512

Results
E_tot = -93.93 eV per cell
crystal system = monoclinic
ρ = 8.41 g/cm3
SG = No. 11
formation energy without anion corrections = -795 meV per atom

***

Record 12
## OsO4 (PBE)

Data for a geometry-optimized OsO4 structure.

abc: 3.7864 3.7864 3.7864
angles: 90.00 90.00 90.00
Fractional positions:
O  0.0000  0.5000  0.5000
O  0.5000  0.0000  0.5000
O  0.5000  0.5000  0.0000
O  0.0000  0.0000  0.0000
Os  0.5000  0.5000  0.5000

Results
E_tot = -31.65 eV per cell
crystal system = cubic
ρ = 7.78 g/cm3
SG = No. 221
formation energy without anion corrections = -118 meV per atom

***

Record 13
## Th2BeSi (PBE)

Data for a geometry-optimized Th2BeSi structure.

abc: 3.8836 3.8836 9.8493
angles: 78.63 78.63 60.00
Fractional positions:
Si  0.5000  0.5000  0.5000
Th  0.8951  0.8951  0.3147
Th  0.1049  0.1049  0.6853
Be  0.0000  0.0000  0.0000

Results
E_tot = -21.51 eV per cell
crystal system = trigonal
ρ = 6.64 g/cm3
SG = No. 166
excess energy over the best structure of this formula in the dataset = 1006 meV per atom
formation energy without anion corrections = 621 meV per atom

***

Record 14
## LiLaAl (PBE)

Data for a geometry-optimized LiLaAl structure.

abc: 4.8097 4.8097 4.8097
angles: 60.00 60.00 60.00
Fractional positions:
Li  0.7500  0.7500  0.7500
La  0.5000  0.5000  0.5000
Al  0.0000  0.0000  0.0000

Results
E_tot = -10.46 eV per cell
crystal system = cubic
formation enthalpy at 0 K = 4.0 kJ per mole of atoms
ρ = 3.65 g/cm3
SG = No. 216
excess energy over the best structure of this formula in the dataset = 277 meV per atom

***

Record 15
## SiAu (PBE)

Data for a geometry-optimized SiAu structure.

abc: 8.0695 10.8189 7.1401
angles: 90.00 90.00 90.00
Fractional positions:
Si  0.2500  0.3702  0.2500
Si  0.0000  0.8798  0.5000
Si  0.2500  0.8702  0.7500
Si  0.7500  0.1298  0.7500
Si  0.7500  0.3702  0.7500
Si  0.5000  0.3798  0.5000
Si  0.5000  0.1202  0.0000
Si  0.2500  0.6298  0.7500
Si  0.0000  0.1202  0.5000
Si  0.5000  0.8798  0.0000
Si  0.5000  0.6202  0.5000
Si  0.2500  0.1298  0.2500
Si  0.0000  0.6202  0.0000
Si  0.7500  0.8702  0.2500
Si  0.7500  0.6298  0.2500
Si  0.0000  0.3798  0.0000
Au  0.2500  0.2500  0.5570
Au  0.0000  0.5000  0.6930
Au  0.5000  0.5000  0.1930
Au  0.2500  0.2500  0.9430
Au  0.5000  0.0000  0.3070
Au  0.2500  0.7500  0.0570
Au  0.7500  0.7500  0.5570
Au  0.0000  0.0000  0.8070
Au  0.5000  0.0000  0.6930
Au  0.0000  0.5000  0.3070
Au  0.7500  0.2500  0.0570
Au  0.7500  0.2500  0.4430
Au  0.0000  0.0000  0.1930
Au  0.2500  0.7500  0.4430
Au  0.5000  0.5000  0.8070
Au  0.7500  0.7500  0.9430

Results
E_tot = -135.80 eV per cell
crystal system = orthorhombic
ρ = 9.59 g/cm3
SG = No. 70
formation energy without anion corrections = 107 meV per atom

***

Record 16
## KCuSb2C (PBE)

Data for a geometry-optimized KCuSb2C structure.

abc: 5.8240 4.3767 5.8240
angles: 90.00 90.00 90.00
Fractional positions:
Sb  0.5000  0.0000  0.0000
Sb  0.0000  0.0000  0.5000
K  0.0000  0.0000  0.0000
Cu  0.5000  0.5000  0.5000
C  0.0000  0.5000  0.0000

Results
E_tot = -10.22 eV per cell
crystal system = tetragonal
ρ = 4.01 g/cm3
SG = No. 123
formation energy without anion corrections = 2488 meV per atom

***

Record 17
## Rb2Se2S (PBE)

Data for a geometry-optimized Rb2Se2S structure.

abc: 4.9595 7.0839 10.2669
angles: 90.00 103.98 90.00
Fractional positions:
Se  0.5942  0.6221  0.1885
Se  0.8510  0.4856  0.7019
Se  0.4058  0.1221  0.8115
Se  0.1490  0.9856  0.2981
S  0.3826  0.4345  0.7651
S  0.6174  0.9345  0.2349
Rb  0.7863  0.0122  0.5726
Rb  0.9845  0.8112  0.9690
Rb  0.2137  0.5122  0.4274
Rb  0.0155  0.3112  0.0310

Results
E_tot = -33.02 eV per cell
crystal system = orthorhombic
ρ = 3.42 g/cm3
SG = No. 36
excess energy over the best structure of this formula in the dataset = 0 meV per atom
formation energy without anion corrections = -696 meV per atom

***

Record 18
## Rb2ZnSn (PBE)

Data for a geometry-optimized Rb2ZnSn structure.

abc: 13.3051 13.3051 9.7682
angles: 47.07 47.07 90.00
Fractional positions:
Rb  0.3093  0.6250  0.2500
Rb  0.4407  0.1250  0.2500
Rb  0.8750  0.6907  0.7500
Rb  0.3750  0.5593  0.7500
Sn  0.0000  0.0000  0.0000
Sn  0.7500  0.2500  0.5000
Zn  0.2500  0.7500  0.5000
Zn  0.5000  0.5000  0.0000

Results
E_tot = -14.03 eV per cell
crystal system = tetragonal
formation enthalpy at 0 K = 4.7 kJ per mole of atoms
ρ = 2.53 g/cm3
SG = No. 122

***

Record 19
## TaV2Fe (PBE)

Data for a geometry-optimized TaV2Fe structure.

abc: 6.7834 6.7834 5.4321
angles: 51.36 51.36 90.00
Fractional positions:
V  0.3750  0.4157  0.7500
V  0.5843  0.1250  0.2500
V  0.1657  0.6250  0.2500
V  0.8750  0.8343  0.7500
Ta  0.0000  0.0000  0.0000
Ta  0.7500  0.2500  0.5000
Fe  0.5000  0.5000  0.0000
Fe  0.2500  0.7500  0.5000

Results
E_tot = -73.92 eV per cell
crystal system = tetragonal
formation enthalpy at 0 K = 38.4 kJ per mole of atoms
ρ = 9.59 g/cm3
SG = No. 122
excess energy over the best structure of this formula in the dataset = 441 meV per atom

***

Record 20
## CeHoHgBi (PBE)

Data for a geometry-optimized CeHoHgBi structure.

abc: 5.4233 5.4233 5.4233
angles: 60.00 60.00 60.00
Fractional positions:
Ce  0.5000  0.5000  0.5000
Ho  0.0000  0.0000  0.0000
Hg  0.7500  0.7500  0.7500
Bi  0.2500  0.2500  0.2500

Results
E_tot = -16.53 eV per cell
crystal system = cubic
formation enthalpy at 0 K = -44.2 kJ per mole of atoms
ρ = 10.52 g/cm3
SG = No. 216

***

Record 21
## Ce2MgI6 (PBE)

Data for a geometry-optimized Ce2MgI6 structure.

abc: 4.2488 8.9044 11.5682
angles: 113.11 90.00 103.80
Fractional positions:
I  0.9724  0.9449  0.2297
I  0.6746  0.3493  0.1307
I  0.0276  0.0551  0.7703
I  0.3253  0.6507  0.8693
I  0.3712  0.7425  0.4506
I  0.6288  0.2575  0.5494
Ce  0.3169  0.6338  0.1416
Ce  0.6831  0.3663  0.8584
Mg  0.0000  0.0000  0.5000

Results
E_tot = -33.24 eV per cell
crystal system = monoclinic
ρ = 4.55 g/cm3
SG = No. 12
excess energy over the best structure of this formula in the dataset = 0 meV per atom
formation energy without anion corrections = -1164 meV per atom

***

Record 22
## Rb2SnGeCl6 (PBE)

Data for a geometry-optimized Rb2SnGeCl6 structure.

abc: 7.6581 8.1594 8.2679
angles: 122.64 121.03 89.91
Fractional positions:
Cl  0.7509  0.8768  0.0648
Cl  0.2724  0.2975  0.4666
Cl  0.7039  0.6256  0.4608
Cl  0.2094  0.7707  0.0839
Cl  0.7741  0.2960  0.9741
Cl  0.2178  0.1612  0.8434
Rb  0.7634  0.2601  0.5406
Rb  0.2857  0.7344  0.5088
Sn  0.5082  0.4836  0.0153
Ge  0.0132  0.9980  0.0397

Results
E_tot = -35.28 eV per cell
crystal system = triclinic
ρ = 2.77 g/cm3
SG = No. 1
formation energy without anion corrections = -1365 meV per atom

***

Record 23
## La2Sm6Dy3Mg (PBE)

Data for a geometry-optimized La2Sm6Dy3Mg structure.

abc: 6.2296 6.2296 11.9207
angles: 95.06 95.06 120.05
Fractional positions:
Sm  0.0837  0.4135  0.2535
Sm  0.5865  0.9163  0.7465
Sm  0.2465  0.2465  0.7456
Sm  0.4135  0.0837  0.2535
Sm  0.9163  0.5865  0.7465
Sm  0.7535  0.7535  0.2544
Dy  0.8340  0.1660  0.5000
Dy  0.1660  0.8340  0.5000
Dy  0.5000  0.5000  0.5000
Mg  0.0000  0.0000  0.0000
La  0.6671  0.3329  0.0000
La  0.3329  0.6671  0.0000

Results
E_tot = -53.41 eV per cell
crystal system = monoclinic
formation enthalpy at 0 K = 1.3 kJ per mole of atoms
ρ = 7.13 g/cm3
SG = No. 12

***

Record 24
## PuPa2Hg (PBE)

Data for a geometry-optimized PuPa2Hg structure.

abc: 3.6689 3.6689 7.1749
angles: 90.00 90.00 90.00
Fractional positions:
Pa  0.0000  0.0000  0.2793
Pa  0.0000  0.0000  0.7207
Hg  0.5000  0.5000  0.0000
Pu  0.5000  0.5000  0.5000

Results
E_tot = -32.92 eV per cell
crystal system = tetragonal
formation enthalpy at 0 K = 17.0 kJ per mole of atoms
ρ = 15.59 g/cm3
SG = No. 123
excess energy over the best structure of this formula in the dataset = 110 meV per atom

***

Record 25
## SrSiSbI2 (PBE)

Data for a geometry-optimized SrSiSbI2 structure.

abc: 6.1916 6.1916 6.6710
angles: 90.00 90.00 90.00
Fractional positions:
Sr  0.0000  0.0000  0.0000
I  0.5000  0.0000  0.0000
I  0.0000  0.5000  0.0000
Si  0.5000  0.5000  0.5000
Sb  0.0000  0.0000  0.5000

Results
E_tot = -12.49 eV per cell
crystal system = tetragonal
ρ = 3.19 g/cm3
SG = No. 123
excess energy over the best structure of this formula in the dataset = 632 meV per atom
formation energy without anion corrections = 367 meV per atom